Sr2Ga3HgGe4: relaxed, PBE.

Calculated values
ρ   6.264 g/cm3
Total magnetization   0.00 μB per formula unit
Space group   P-4m2 (115)

a = 4.785 Å, b = 4.785 Å, c = 10.136 Å
α = 90.00°, β = 90.00°, γ = 90.00°
Sites, in units of the cell vectors:
Ga 0.000 0.000 0.500
Ge 0.000 0.500 0.364
Sr 0.000 0.500 0.756
Hg 0.500 0.500 0.500
Ga 0.000 0.500 0.114
Sr 0.500 0.000 0.244
Ge 0.500 0.500 0.000
Ge 0.000 0.000 0.000
Ge 0.500 0.000 0.636
Ga 0.500 0.000 0.886

***

Sr2Ga4HgGe3: relaxed, PBE.

Calculated values
ρ   6.254 g/cm3
Total magnetization   0.00 μB per formula unit
Space group   P-4m2 (115)

a = 4.766 Å, b = 4.766 Å, c = 10.200 Å
α = 90.00°, β = 90.00°, γ = 90.00°
Sites, in units of the cell vectors:
Ge 0.000 0.000 0.500
Sr 0.500 0.000 0.247
Sr 0.000 0.500 0.753
Hg 0.500 0.500 0.500
Ga 0.000 0.500 0.365
Ga 0.000 0.000 0.000
Ge 0.000 0.500 0.115
Ga 0.500 0.000 0.635
Ga 0.500 0.500 0.000
Ge 0.500 0.000 0.885

***

Tb2GaHgGe: relaxed, PBE.

Calculated values
ρ   8.918 g/cm3
Total magnetization   0.00 μB per formula unit
Space group   P2_1/m (11)

a = 4.503 Å, b = 7.471 Å, c = 7.316 Å
α = 90.06°, β = 90.00°, γ = 90.00°
Sites, in units of the cell vectors:
Ge 0.750 0.087 0.249
Tb 0.750 0.783 0.504
Tb 0.250 0.217 0.496
Ga 0.750 0.421 0.251
Ge 0.250 0.913 0.751
Hg 0.250 0.617 0.252
Tb 0.750 0.780 0.998
Hg 0.750 0.383 0.748
Ga 0.250 0.579 0.749
Tb 0.250 0.220 0.002

***

Ga2TcHgGe: relaxed, PBE.

Calculated values
ρ   7.277 g/cm3
Total magnetization   0.00 μB per formula unit
Space group   P4/mmm (123)

a = 4.929 Å, b = 4.929 Å, c = 4.797 Å
α = 90.00°, β = 90.00°, γ = 90.00°
Sites, in units of the cell vectors:
Ga 0.500 0.000 0.000
Ga 0.000 0.500 0.000
Hg 0.500 0.500 0.500
Tc 0.000 0.000 0.000
Ge 0.000 0.000 0.500

***

GaTcHgGe2: relaxed, PBE.

Calculated values
ρ   7.362 g/cm3
Total magnetization   0.00 μB per formula unit
Space group   P4/mmm (123)

a = 4.828 Å, b = 4.828 Å, c = 4.970 Å
α = 90.00°, β = 90.00°, γ = 90.00°
Sites, in units of the cell vectors:
Ge 0.500 0.000 0.000
Ga 0.000 0.000 0.500
Hg 0.500 0.500 0.500
Ge 0.000 0.500 0.000
Tc 0.000 0.000 0.000

***

TlGaHgGe2: relaxed, PBE.

Calculated values
ρ   7.541 g/cm3
Total magnetization   0.00 μB per formula unit
Space group   P4/mmm (123)

a = 5.017 Å, b = 5.424 Å, c = 5.017 Å
α = 90.00°, β = 90.00°, γ = 90.00°
Sites, in units of the cell vectors:
Ga 0.000 0.000 0.000
Tl 0.500 0.500 0.500
Hg 0.000 0.500 0.000
Ge 0.500 0.000 0.000
Ge 0.000 0.000 0.500

***

YGaHgGe2: relaxed, PBE.

Calculated values
ρ   6.114 g/cm3
Total magnetization   0.00 μB per formula unit
Space group   P4/mmm (123)

a = 5.203 Å, b = 5.062 Å, c = 5.203 Å
α = 90.00°, β = 90.00°, γ = 90.00°
Sites, in units of the cell vectors:
Ge 0.500 0.000 0.000
Ge 0.000 0.000 0.500
Y 0.500 0.500 0.500
Ga 0.000 0.500 0.000
Hg 0.000 0.000 0.000

***

Ho2GaGe3: relaxed, PBE.

Calculated values
ρ   7.507 g/cm3
Total magnetization   0.00 μB per formula unit
Space group   Cmcm (63)

a = 5.100 Å, b = 7.583 Å, c = 7.583 Å
α = 111.34°, β = 90.00°, γ = 90.00°
Sites, in units of the cell vectors:
Ge 0.000 0.827 0.173
Ge 0.250 0.421 0.421
Ge 0.500 0.173 0.827
Ho 0.750 0.170 0.460
Ho 0.250 0.830 0.540
Ge 0.000 0.173 0.827
Ga 0.750 0.867 0.867
Ge 0.750 0.579 0.579
Ga 0.250 0.133 0.133
Ho 0.750 0.460 0.170
Ho 0.250 0.540 0.830
Ge 0.500 0.827 0.173

***

HoGaGe: relaxed, PBE.

Calculated values
ρ   7.994 g/cm3
Total magnetization   0.00 μB per formula unit
Space group   Cmcm (63)

a = 3.882 Å, b = 4.252 Å, c = 8.021 Å
α = 105.37°, β = 90.00°, γ = 90.00°
Sites, in units of the cell vectors:
Ho 0.250 0.095 0.189
Ga 0.250 0.742 0.484
Ge 0.250 0.439 0.878
Ge 0.750 0.561 0.122
Ga 0.750 0.258 0.516
Ho 0.750 0.905 0.811

***

Ho4Ga3Ge5: relaxed, PBE.

Calculated values
ρ   7.573 g/cm3
Total magnetization   0.00 μB per formula unit
Space group   C2/m (12)

a = 4.606 Å, b = 5.815 Å, c = 11.244 Å
α = 82.29°, β = 78.18°, γ = 66.67°
Sites, in units of the cell vectors:
Ho 0.759 0.205 0.277
Ga 0.000 0.500 0.500
Ga 0.726 0.000 0.549
Ge 0.626 0.837 0.912
Ho 0.104 0.706 0.087
Ga 0.274 0.000 0.451
Ge 0.519 0.215 0.746
Ge 0.500 0.500 0.500
Ge 0.374 0.163 0.088
Ge 0.481 0.785 0.254
Ho 0.241 0.795 0.723
Ho 0.896 0.294 0.913

***

Ho2Ga2Ge: relaxed, PBE.

Calculated values
ρ   8.245 g/cm3
Total magnetization   0.00 μB per formula unit
Space group   Amm2 (38)
Offset from the most stable computed form   13 kJ/mol of formula units

a = 4.013 Å, b = 3.924 Å, c = 7.205 Å
α = 105.80°, β = 90.00°, γ = 90.00°
Sites, in units of the cell vectors:
Ho 0.000 0.935 0.869
Ho 0.000 0.680 0.361
Ge 0.500 0.114 0.227
Ga 0.500 0.503 0.005
Ga 0.500 0.311 0.622

***

HoGaGe2: relaxed, PBE.

Calculated values
ρ   7.974 g/cm3
Total magnetization   0.00 μB per formula unit
Space group   P4/mmm (123)
Offset from the most stable computed form   0 kJ/mol of formula units

a = 4.312 Å, b = 4.284 Å, c = 4.284 Å
α = 90.00°, β = 90.00°, γ = 90.00°
Sites, in units of the cell vectors:
Ge 0.000 0.000 0.500
Ho 0.500 0.000 0.000
Ga 0.500 0.500 0.500
Ge 0.000 0.500 0.000

***

HoGaGe2: relaxed, PBE.

Calculated values
ρ   7.531 g/cm3
Total magnetization   0.00 μB per formula unit
Space group   R-3m (166)
Offset from the most stable computed form   72 kJ/mol of formula units

a = 4.497 Å, b = 4.497 Å, c = 5.443 Å
α = 65.60°, β = 65.60°, γ = 60.00°
Sites, in units of the cell vectors:
Ga 0.000 0.000 0.000
Ge 0.281 0.281 0.156
Ge 0.719 0.719 0.844
Ho 0.500 0.500 0.500

***

HoGaGe2: relaxed, PBE.

Calculated values
ρ   7.803 g/cm3
Total magnetization   0.00 μB per formula unit
Space group   P4/mmm (123)
Offset from the most stable computed form   50 kJ/mol of formula units

a = 3.642 Å, b = 3.642 Å, c = 6.095 Å
α = 90.00°, β = 90.00°, γ = 90.00°
Sites, in units of the cell vectors:
Ge 0.000 0.000 0.785
Ge 0.000 0.000 0.215
Ga 0.500 0.500 0.000
Ho 0.500 0.500 0.500

***

Ho3Ga3Ge2: relaxed, PBE.

Calculated values
ρ   8.218 g/cm3
Total magnetization   0.00 μB per formula unit
Space group   Cmcm (63)

a = 4.067 Å, b = 5.854 Å, c = 15.372 Å
α = 90.00°, β = 90.00°, γ = 110.33°
Sites, in units of the cell vectors:
Ga 0.430 0.859 0.941
Ge 0.165 0.330 0.120
Ho 0.864 0.728 0.093
Ge 0.835 0.670 0.880
Ga 0.677 0.355 0.750
Ga 0.570 0.141 0.441
Ge 0.835 0.670 0.620
Ga 0.430 0.859 0.559
Ho 0.136 0.272 0.907
Ho 0.416 0.833 0.750
Ga 0.570 0.141 0.059
Ge 0.165 0.330 0.380
Ho 0.584 0.167 0.250
Ho 0.136 0.272 0.593
Ho 0.864 0.728 0.407
Ga 0.323 0.645 0.250

***

Ho2Ga3Ge: relaxed, PBE.

Calculated values
ρ   8.243 g/cm3
Total magnetization   0.00 μB per formula unit
Space group   Pmm2 (25)

a = 4.045 Å, b = 4.200 Å, c = 7.252 Å
α = 90.00°, β = 90.00°, γ = 90.00°
Sites, in units of the cell vectors:
Ho 0.000 0.000 0.497
Ho 0.000 0.500 0.004
Ga 0.500 0.000 0.162
Ga 0.500 0.000 0.830
Ga 0.500 0.500 0.671
Ge 0.500 0.500 0.336

***

HoGa2Ge: relaxed, PBE.

Calculated values
ρ   8.001 g/cm3
Total magnetization   0.00 μB per formula unit
Space group   P4/mmm (123)
Offset from the most stable computed form   0 kJ/mol of formula units

a = 4.469 Å, b = 4.185 Å, c = 4.185 Å
α = 90.00°, β = 90.00°, γ = 90.00°
Sites, in units of the cell vectors:
Ga 0.000 0.500 0.000
Ge 0.500 0.500 0.500
Ga 0.000 0.000 0.500
Ho 0.500 0.000 0.000

***

Ho3Ga2Ge: relaxed, PBE.

Calculated values
ρ   8.247 g/cm3
Total magnetization   0.00 μB per formula unit
Space group   Pnma (62)

a = 4.076 Å, b = 11.808 Å, c = 11.828 Å
α = 90.00°, β = 90.00°, γ = 90.00°
Sites, in units of the cell vectors:
Ga 0.750 0.501 0.187
Ga 0.250 0.499 0.813
Ho 0.750 0.622 0.943
Ge 0.250 0.129 0.131
Ho 0.750 0.207 0.289
Ho 0.750 0.293 0.789
Ga 0.250 0.807 0.989
Ho 0.250 0.707 0.211
Ho 0.750 0.945 0.119
Ho 0.250 0.793 0.711
Ga 0.750 0.307 0.511
Ge 0.250 0.371 0.631
Ho 0.250 0.378 0.057
Ho 0.250 0.055 0.881
Ga 0.250 0.693 0.489
Ho 0.250 0.122 0.557
Ge 0.750 0.871 0.869
Ho 0.250 0.445 0.381
Ga 0.250 0.001 0.313
Ga 0.750 0.999 0.687
Ho 0.750 0.555 0.619
Ga 0.750 0.193 0.011
Ho 0.750 0.878 0.443
Ge 0.750 0.629 0.369

***

Ho8Ga2Ge: relaxed, PBE.

Calculated values
ρ   8.636 g/cm3
Total magnetization   0.00 μB per formula unit
Space group   C2/m (12)

a = 4.906 Å, b = 6.608 Å, c = 9.615 Å
α = 101.87°, β = 104.78°, γ = 90.00°
Sites, in units of the cell vectors:
Ho 0.027 0.771 0.055
Ga 0.812 0.242 0.625
Ga 0.188 0.758 0.375
Ho 0.973 0.229 0.945
Ho 0.343 0.020 0.686
Ge 0.500 0.000 0.000
Ho 0.591 0.456 0.181
Ho 0.212 0.319 0.424
Ho 0.788 0.681 0.576
Ho 0.409 0.544 0.819
Ho 0.657 0.980 0.314

***

Ho2Ga3Ge3: relaxed, PBE.

Calculated values
ρ   8.008 g/cm3
Total magnetization   0.00 μB per formula unit
Space group   Pmmm (47)

a = 4.236 Å, b = 4.408 Å, c = 8.406 Å
α = 90.00°, β = 90.00°, γ = 90.00°
Sites, in units of the cell vectors:
Ho 0.000 0.000 0.748
Ge 0.500 0.000 0.500
Ga 0.500 0.500 0.757
Ge 0.500 0.000 0.000
Ge 0.000 0.500 0.500
Ga 0.000 0.500 0.000
Ho 0.000 0.000 0.252
Ga 0.500 0.500 0.243

***

no.,calculated formation energy (eV/atom),calculated volume (Å³ per cell),DFT total energy (eV for the cell shown)
1,-0.3028,232,-34.24
2,-0.3228,232,-32.85
3,-0.5455,246,-39.87
4,0.0834,117,-20.92
5,0.0638,116,-22.61
6,0.4010,137,-12.92
7,0.4472,137,-16.79
8,-0.3680,273,-56.48
9,-0.5505,128,-27.75
10,-0.4335,270,-55.68
11,-0.6115,109,-22.88
12,-0.4487,79,-18.63
13,-0.2616,84,-17.89
14,-0.3196,81,-18.12
15,-0.6314,343,-74.20
16,-0.6228,123,-26.59
17,-0.4951,78,-17.23
18,-0.6283,569,-112.70
19,-0.3513,294,-51.16
20,-0.4690,157,-35.84